1.
Below is an optimized crystal structure of ZnRe2Ru2, with properties calculated at the PBE level. Values from VASP.

Computed properties:
- Density of states at the Fermi level: 4.62 states/eV/cell
- Calculated volume: 16.75 A^3/atom
- Magnetization: 0.00 μB/f.u.

Structure (Quantum ESPRESSO input):
```
&SYSTEM
  ibrav = 0, nat = 5, ntyp = 3
/
ATOMIC_SPECIES
Zn 65.41 Zn.upf
Re 186.21 Re.upf
Ru 101.07 Ru.upf
ATOMIC_POSITIONS crystal
Zn 0.0000 0.0000 0.0000
Re 0.2500 0.7500 0.5000
Re 0.7500 0.2500 0.5000
Ru 0.3980 0.3980 0.0000
Ru 0.6020 0.6020 0.0000
CELL_PARAMETERS angstrom
-1.8897 1.8897 5.8629
1.8897 -1.8897 5.8629
1.8897 1.8897 -5.8629
```

2.
Below is an optimized crystal structure of ZnRe2Ru2, with properties calculated at the PBE level. Values from VASP.

Computed properties:
- Density of states at the Fermi level: 6.43 states/eV/cell
- Calculated volume: 15.60 A^3/atom
- Magnetization: 0.00 μB/f.u.

Structure (Quantum ESPRESSO input):
```
&SYSTEM
  ibrav = 0, nat = 10, ntyp = 3
/
ATOMIC_SPECIES
Zn 65.41 Zn.upf
Re 186.21 Re.upf
Ru 101.07 Ru.upf
ATOMIC_POSITIONS crystal
Zn 0.0000 0.0000 0.0000
Zn 0.5000 0.5000 0.0000
Re 0.1648 0.3352 0.5000
Re 0.3352 0.8352 0.5000
Re 0.6648 0.1648 0.5000
Re 0.8352 0.6648 0.5000
Ru 0.1271 0.6271 0.0000
Ru 0.3729 0.1271 0.0000
Ru 0.6271 0.8729 0.0000
Ru 0.8729 0.3729 0.0000
CELL_PARAMETERS angstrom
7.5445 0.0000 0.0000
0.0000 7.5445 0.0000
0.0000 0.0000 2.7410
```

Most stable = 2

1.
Below is an optimized crystal structure of ZrRe3Ru, with properties calculated at the PBE level. Values from VASP.

Computed properties:
- Density of states at the Fermi level: 6.42 states/eV/cell
- Calculated volume: 20.77 A^3/atom
- Magnetization: 1.32 μB/f.u.

Structure (Quantum ESPRESSO input):
```
&SYSTEM
  ibrav = 0, nat = 5, ntyp = 3
/
ATOMIC_SPECIES
Zr 91.22 Zr.upf
Re 186.21 Re.upf
Ru 101.07 Ru.upf
ATOMIC_POSITIONS crystal
Zr 0.0000 0.0000 0.0000
Re 0.0000 0.0000 0.5000
Re 0.0000 0.5000 0.0000
Re 0.5000 0.0000 0.0000
Ru 0.5000 0.5000 0.5000
CELL_PARAMETERS angstrom
4.7006 0.0000 0.0000
0.0000 4.7006 0.0000
0.0000 0.0000 4.7006
```

2.
Below is an optimized crystal structure of ZrRe3Ru, with properties calculated at the PBE level. Values from VASP.

Computed properties:
- Density of states at the Fermi level: 5.20 states/eV/cell
- Calculated volume: 20.12 A^3/atom
- Magnetization: 0.00 μB/f.u.

Structure (Quantum ESPRESSO input):
```
&SYSTEM
  ibrav = 0, nat = 5, ntyp = 3
/
ATOMIC_SPECIES
Zr 91.22 Zr.upf
Re 186.21 Re.upf
Ru 101.07 Ru.upf
ATOMIC_POSITIONS crystal
Zr 0.0000 0.0000 0.0000
Re 0.0000 0.5000 0.5000
Re 0.5000 0.0000 0.5000
Re 0.5000 0.5000 0.0000
Ru 0.5000 0.5000 0.5000
CELL_PARAMETERS angstrom
4.6508 0.0000 0.0000
0.0000 4.6508 0.0000
0.0000 0.0000 4.6508
```

Most stable = 2

1.
Below is an optimized crystal structure of Zr4ReRu, with properties calculated at the PBE level. Values from VASP.

Computed properties:
- Density of states at the Fermi level: 7.26 states/eV/cell
- Calculated volume: 19.47 A^3/atom
- Magnetization: 0.00 μB/f.u.

Structure (Quantum ESPRESSO input):
```
&SYSTEM
  ibrav = 0, nat = 6, ntyp = 3
/
ATOMIC_SPECIES
Zr 91.22 Zr.upf
Re 186.21 Re.upf
Ru 101.07 Ru.upf
ATOMIC_POSITIONS crystal
Zr 0.0000 0.0000 0.1508
Zr 0.0000 0.0000 0.8492
Zr 0.5000 0.5000 0.3487
Zr 0.5000 0.5000 0.6513
Re 0.0000 0.0000 0.5000
Ru 0.5000 0.5000 0.0000
CELL_PARAMETERS angstrom
3.3263 0.0000 0.0000
0.0000 3.3263 0.0000
0.0000 0.0000 10.5565
```

2.
Below is an optimized crystal structure of Zr4ReRu, with properties calculated at the PBE level. Values from VASP.

Computed properties:
- Density of states at the Fermi level: 6.70 states/eV/cell
- Calculated volume: 22.36 A^3/atom
- Magnetization: 0.00 μB/f.u.

Structure (Quantum ESPRESSO input):
```
&SYSTEM
  ibrav = 0, nat = 6, ntyp = 3
/
ATOMIC_SPECIES
Zr 91.22 Zr.upf
Re 186.21 Re.upf
Ru 101.07 Ru.upf
ATOMIC_POSITIONS crystal
Zr 0.1249 0.1249 0.1249
Zr 0.3750 0.3750 0.3750
Zr 0.6250 0.6250 0.6250
Zr 0.8751 0.8751 0.8751
Re 0.0000 0.0000 0.0000
Ru 0.5000 0.5000 0.5000
CELL_PARAMETERS angstrom
2.2883 1.3211 7.3966
-2.2883 1.3211 7.3966
0.0000 -2.6423 7.3966
```

3.
Below is an optimized crystal structure of Zr4ReRu, with properties calculated at the PBE level. Values from VASP.

Computed properties:
- Density of states at the Fermi level: 11.14 states/eV/cell
- Calculated volume: 19.80 A^3/atom
- Magnetization: 0.12 μB/f.u.

Structure (Quantum ESPRESSO input):
```
&SYSTEM
  ibrav = 0, nat = 6, ntyp = 3
/
ATOMIC_SPECIES
Zr 91.22 Zr.upf
Re 186.21 Re.upf
Ru 101.07 Ru.upf
ATOMIC_POSITIONS crystal
Zr 0.1250 0.1250 0.1250
Zr 0.1250 0.1250 0.6249
Zr 0.1250 0.6249 0.1250
Zr 0.6249 0.1250 0.1250
Re 0.7500 0.7500 0.7500
Ru 0.5000 0.5000 0.5000
CELL_PARAMETERS angstrom
0.0000 3.9018 3.9018
3.9018 0.0000 3.9018
3.9018 3.9018 0.0000
```

Most stable = 1

1.
Below is an optimized crystal structure of Re3SbS, with properties calculated at the PBE level. Values from VASP.

Computed properties:
- Density of states at the Fermi level: 5.76 states/eV/cell
- Calculated volume: 23.23 A^3/atom
- Magnetization: 2.20 μB/f.u.

Structure (Quantum ESPRESSO input):
```
&SYSTEM
  ibrav = 0, nat = 5, ntyp = 3
/
ATOMIC_SPECIES
Re 186.21 Re.upf
Sb 121.76 Sb.upf
S 32.06 S.upf
ATOMIC_POSITIONS crystal
Re 0.0000 0.0000 0.5000
Re 0.0000 0.5000 0.0000
Re 0.5000 0.0000 0.0000
Sb 0.0000 0.0000 0.0000
S 0.5000 0.5000 0.5000
CELL_PARAMETERS angstrom
4.8794 0.0000 0.0000
0.0000 4.8794 0.0000
0.0000 0.0000 4.8794
```

2.
Below is an optimized crystal structure of Re3SbS, with properties calculated at the PBE level. Values from VASP.

Computed properties:
- Density of states at the Fermi level: 4.48 states/eV/cell
- Calculated volume: 17.56 A^3/atom
- Magnetization: 1.34 μB/f.u.

Structure (Quantum ESPRESSO input):
```
&SYSTEM
  ibrav = 0, nat = 5, ntyp = 3
/
ATOMIC_SPECIES
Re 186.21 Re.upf
Sb 121.76 Sb.upf
S 32.06 S.upf
ATOMIC_POSITIONS crystal
Re 0.0000 0.0000 0.5000
Re 0.0000 0.5000 0.0000
Re 0.5000 0.0000 0.0000
Sb 0.5000 0.5000 0.5000
S 0.0000 0.0000 0.0000
CELL_PARAMETERS angstrom
4.4449 0.0000 0.0000
0.0000 4.4449 0.0000
0.0000 0.0000 4.4449
```

Most stable = 2